[1]
BeSiIr2 after structural relaxation, computed with PBE-GGA.

abc: 8.0199 8.0199 8.0199
angles: 19.98 19.98 19.98
Element x y z (fractional)
Be 0.0000 0.0000 0.0000
Si 0.7498 0.7498 0.7498
Ir 0.2612 0.2612 0.2612
Ir 0.4941 0.4941 0.4941

Calculated values
Raw total energy ... -6.8354 eV per atom
V ... 52.7 Å³ per cell
Spin magnetization ... 0.00 μB per formula unit
Energy relative to the elements, uncorrected ... -0.1176 eV per atom

[2]
Be2SiIr2 after structural relaxation, computed with PBE-GGA.

abc: 4.2804 4.2804 4.2377
angles: 96.24 96.24 51.12
Element x y z (fractional)
Be 0.0936 0.0936 0.2070
Be 0.9064 0.9064 0.7930
Si 0.5000 0.5000 0.5000
Ir 0.2142 0.2142 0.7438
Ir 0.7858 0.7858 0.2562

Calculated values
Raw total energy ... -6.5444 eV per atom
V ... 60.0 Å³ per cell
Spin magnetization ... 0.00 μB per formula unit
Energy relative to the elements, uncorrected ... -0.4249 eV per atom

[3]
BeSiIr after structural relaxation, computed with PBE-GGA.

abc: 3.6727 3.6727 5.7200
angles: 101.02 101.02 92.47
Element x y z (fractional)
Be 0.0000 0.5000 0.0000
Be 0.5000 0.0000 0.0000
Si 0.1073 0.1073 0.3172
Si 0.8927 0.8927 0.6828
Ir 0.4086 0.4086 0.7316
Ir 0.5914 0.5914 0.2684

Calculated values
Raw total energy ... -6.3768 eV per atom
V ... 74.1 Å³ per cell
Spin magnetization ... 0.00 μB per formula unit
Energy relative to the elements, uncorrected ... -0.3734 eV per atom

[4]
BeSiIr2 after structural relaxation, computed with PBE-GGA.

abc: 2.8102 2.8102 7.6551
angles: 90.00 90.00 119.22
Element x y z (fractional)
Be 0.0000 0.0000 0.0000
Si 0.0000 0.0000 0.5000
Ir 0.5000 0.5000 0.2445
Ir 0.5000 0.5000 0.7555

Calculated values
Raw total energy ... -6.8672 eV per atom
V ... 52.8 Å³ per cell
Spin magnetization ... 0.00 μB per formula unit
Energy relative to the elements, uncorrected ... -0.1494 eV per atom

[5]
BeSiIr2 after structural relaxation, computed with PBE-GGA.

abc: 2.8067 3.8926 4.8301
angles: 90.00 90.20 90.00
Element x y z (fractional)
Be 0.0000 0.0000 0.0000
Si 0.5000 0.0000 0.5000
Ir 0.2500 0.5000 0.2448
Ir 0.7500 0.5000 0.7552

Calculated values
Raw total energy ... -6.9433 eV per atom
V ... 52.8 Å³ per cell
Spin magnetization ... 0.00 μB per formula unit
Energy relative to the elements, uncorrected ... -0.2255 eV per atom

[6]
BeSiIr2 after structural relaxation, computed with PBE-GGA.

abc: 4.2220 4.2220 4.2220
angles: 60.00 60.00 60.00
Element x y z (fractional)
Be 0.0000 0.0000 0.0000
Si 0.2500 0.2500 0.2500
Ir 0.5000 0.5000 0.5000
Ir 0.7500 0.7500 0.7500

Calculated values
Raw total energy ... -6.5678 eV per atom
V ... 53.2 Å³ per cell
Spin magnetization ... 0.00 μB per formula unit
Energy relative to the elements, uncorrected ... 0.1500 eV per atom

[7]
BeSiIr2 after structural relaxation, computed with PBE-GGA.

abc: 4.6015 4.6015 4.1946
angles: 104.65 104.65 35.74
Element x y z (fractional)
Be 0.0000 0.0000 0.0000
Si 0.7506 0.7506 0.3715
Ir 0.2599 0.2599 0.8918
Ir 0.4942 0.4942 0.4896

Calculated values
Raw total energy ... -7.2304 eV per atom
V ... 50.0 Å³ per cell
Spin magnetization ... 0.00 μB per formula unit
Energy relative to the elements, uncorrected ... -0.5126 eV per atom

[8]
BeSiIr after structural relaxation, computed with PBE-GGA.

abc: 4.3118 4.3118 4.3118
angles: 141.55 134.05 61.42
Element x y z (fractional)
Be 0.0000 0.0000 0.0000
Si 0.6675 0.6675 0.0000
Ir 0.3348 0.3348 0.0000

Calculated values
Raw total energy ... -6.5484 eV per atom
V ... 35.4 Å³ per cell
Spin magnetization ... 0.00 μB per formula unit
Energy relative to the elements, uncorrected ... -0.5450 eV per atom

[9]
Be3SiIr after structural relaxation, computed with PBE-GGA.

abc: 4.2262 4.2262 4.2262
angles: 90.00 90.00 90.00
Element x y z (fractional)
Be 0.0000 0.0000 0.5000
Be 0.0000 0.5000 0.0000
Be 0.5000 0.0000 0.0000
Si 0.5000 0.5000 0.5000
Ir 0.0000 0.0000 0.0000

Calculated values
Raw total energy ... -4.5471 eV per atom
V ... 75.5 Å³ per cell
Spin magnetization ... 0.00 μB per formula unit
Energy relative to the elements, uncorrected ... 0.5454 eV per atom

[10]
BeSiIr after structural relaxation, computed with PBE-GGA.

abc: 6.0917 6.0917 6.0917
angles: 38.17 38.17 38.17
Element x y z (fractional)
Be 0.1323 0.1323 0.1323
Be 0.8677 0.8677 0.8677
Si 0.4233 0.4233 0.4233
Si 0.5767 0.5767 0.5767
Ir 0.2759 0.2759 0.2759
Ir 0.7241 0.7241 0.7241

Calculated values
Raw total energy ... -6.3915 eV per atom
V ... 77.5 Å³ per cell
Spin magnetization ... 0.00 μB per formula unit
Energy relative to the elements, uncorrected ... -0.3881 eV per atom

[11]
BeSiIr after structural relaxation, computed with PBE-GGA.

abc: 4.0068 4.0068 2.8219
angles: 90.00 90.00 120.00
Element x y z (fractional)
Be 0.0000 0.0000 0.0000
Si 0.3333 0.6667 0.5000
Ir 0.6667 0.3333 0.5000

Calculated values
Raw total energy ... -6.1915 eV per atom
V ... 39.2 Å³ per cell
Spin magnetization ... 0.00 μB per formula unit
Energy relative to the elements, uncorrected ... -0.1881 eV per atom

[12]
BeSiIr2 after structural relaxation, computed with PBE-GGA.

abc: 2.9101 2.9101 5.7396
angles: 90.00 90.00 90.00
Element x y z (fractional)
Be 0.0000 0.0000 0.0000
Si 0.0000 0.0000 0.5000
Ir 0.5000 0.5000 0.2456
Ir 0.5000 0.5000 0.7544

Calculated values
Raw total energy ... -7.3065 eV per atom
V ... 48.6 Å³ per cell
Spin magnetization ... 0.00 μB per formula unit
Energy relative to the elements, uncorrected ... -0.5887 eV per atom